(1)
BeTc2H (PBE-GGA, optimized geometry); calculated volume = 10.2 Å³/atom; size of the total moment = 0.00 μB/cell
1.0
1.422 0.821 5.829
-1.422 0.821 5.829
0.000 -1.642 5.829
Be Tc H
1 2 1
Cartesian
0.000 0.000 0.000 Be
0.000 0.000 3.995 Tc
0.000 0.000 13.491 Tc
0.000 0.000 8.743 H

***

(2)
BeTc2H (PBE-GGA, optimized geometry); calculated volume = 10.2 Å³/atom; size of the total moment = 0.00 μB/cell
1.0
-2.766 2.766 2.677
2.766 -2.766 2.677
2.766 2.766 -2.677
Be Tc H
2 4 2
Cartesian
0.000 0.000 0.000 Be
0.000 2.766 1.338 Be
1.383 -1.024 2.008 Tc
1.743 1.383 0.669 Tc
1.383 3.790 -0.669 Tc
1.024 1.383 3.346 Tc
2.766 0.000 1.338 H
0.000 0.000 2.677 H

***

Least stable: (2)

***

(1)
BeTeH3 (PBE-GGA, optimized geometry); calculated volume = 13.4 Å³/atom; size of the total moment = 0.00 μB/cell
1.0
4.058 0.000 0.000
0.000 4.058 0.000
0.000 0.000 4.058
Be Te H
1 1 3
Cartesian
0.000 0.000 0.000 Be
2.029 2.029 2.029 Te
0.000 2.029 2.029 H
2.029 0.000 2.029 H
2.029 2.029 0.000 H

***

(2)
BeTeH3 (PBE-GGA, optimized geometry); calculated volume = 9.0 Å³/atom; size of the total moment = 0.00 μB/cell
1.0
3.562 0.000 0.000
0.000 3.562 0.000
0.000 0.000 3.562
Be Te H
1 1 3
Cartesian
0.000 0.000 0.000 Be
1.781 1.781 1.781 Te
0.000 0.000 1.781 H
0.000 1.781 0.000 H
1.781 0.000 0.000 H

***

Least stable: (1)

***

(1)
BeTe2H (PBE-GGA, optimized geometry); calculated volume = 17.1 Å³/atom; size of the total moment = 0.00 μB/cell
1.0
0.000 3.247 3.247
3.247 0.000 3.247
3.247 3.247 0.000
Be Te H
1 2 1
Cartesian
0.000 0.000 0.000 Be
1.623 1.623 1.623 Te
4.870 4.870 4.870 Te
3.247 3.247 3.247 H

***

(2)
BeTe2H (PBE-GGA, optimized geometry); calculated volume = 21.3 Å³/atom; size of the total moment = 0.00 μB/cell
1.0
1.888 1.090 6.891
-1.888 1.090 6.891
0.000 -2.181 6.891
Be Te H
1 2 1
Cartesian
0.000 0.000 0.000 Be
0.000 0.000 8.343 Te
0.000 0.000 12.331 Te
0.000 0.000 10.337 H

***

(3)
BeTe2H (PBE-GGA, optimized geometry); calculated volume = 20.5 Å³/atom; size of the total moment = 0.00 μB/cell
1.0
-2.768 2.768 5.345
2.768 -2.768 5.345
2.768 2.768 -5.345
Be Te H
2 4 2
Cartesian
0.000 0.000 0.000 Be
0.000 2.768 2.673 Be
1.384 -1.283 4.009 Te
1.485 1.384 1.336 Te
1.384 4.051 -1.336 Te
1.283 1.384 6.682 Te
2.768 0.000 2.673 H
0.000 0.000 5.345 H

***

Least stable: (1)

***

(1)
Be2TeH6 (PBE-GGA, optimized geometry); calculated volume = 7.6 Å³/atom; size of the total moment = 0.00 μB/cell
1.0
0.000 3.249 3.249
3.249 0.000 3.249
3.249 3.249 0.000
Be Te H
2 1 6
Cartesian
1.625 1.625 1.625 Be
4.874 4.874 4.874 Be
0.000 0.000 0.000 Te
3.249 3.249 2.287 H
3.249 2.287 3.249 H
4.212 3.249 3.249 H
2.287 3.249 3.249 H
3.249 4.212 3.249 H
3.249 3.249 4.212 H

***

(2)
Be2TeH6 (PBE-GGA, optimized geometry); calculated volume = 10.2 Å³/atom; size of the total moment = 0.00 μB/cell
1.0
2.926 0.000 0.000
1.452 4.431 0.000
1.428 1.941 7.102
Be Te H
2 1 6
Cartesian
0.721 1.334 2.303 Be
5.085 5.037 4.799 Be
0.726 2.215 0.000 Te
2.169 4.231 2.509 H
2.186 4.259 1.689 H
2.182 1.686 2.684 H
3.623 4.685 4.418 H
3.620 2.112 5.413 H
3.636 2.140 4.593 H

***

Least stable: (1)

***

(1)
TiBeH (PBE-GGA, optimized geometry); calculated volume = 9.4 Å³/atom; size of the total moment = 0.00 μB/cell
1.0
6.490 0.000 0.000
0.000 4.792 0.000
-1.111 0.000 3.645
Ti Be H
4 4 4
Cartesian
0.849 4.792 1.255 Ti
0.293 2.397 3.078 Ti
4.530 0.000 2.389 Ti
5.086 2.396 0.567 Ti
2.267 0.894 3.190 Be
2.823 1.502 1.368 Be
2.556 3.290 2.277 Be
3.112 3.898 0.455 Be
0.000 1.198 0.010 H
-0.556 1.198 1.832 H
5.935 3.594 1.813 H
5.379 3.594 3.635 H

***

(2)
TiBeH (PBE-GGA, optimized geometry); calculated volume = 11.0 Å³/atom; size of the total moment = 0.00 μB/cell
1.0
-1.294 1.294 4.907
1.294 -1.294 4.907
1.294 1.294 -4.907
Ti Be H
1 1 1
Cartesian
0.000 0.000 0.000 Ti
0.000 0.000 3.056 Be
0.000 0.000 5.547 H

***

(3)
TiBeH (PBE-GGA, optimized geometry); calculated volume = 9.4 Å³/atom; size of the total moment = 0.00 μB/cell
1.0
2.913 -1.684 0.000
2.913 1.684 0.000
-1.959 0.000 5.732
Ti Be H
2 2 2
Cartesian
-0.002 0.000 1.648 Ti
3.869 0.000 4.085 Ti
1.942 0.000 0.019 Be
1.926 0.000 5.714 Be
-0.012 0.000 3.605 H
3.879 0.000 2.128 H

***

Least stable: (2)

***

(1)
Ti3BeH (PBE-GGA, optimized geometry); calculated volume = 12.4 Å³/atom; size of the total moment = 0.00 μB/cell
1.0
3.956 0.000 0.000
0.000 3.956 0.000
0.000 0.000 3.956
Ti Be H
3 1 1
Cartesian
0.000 0.000 1.978 Ti
0.000 1.978 0.000 Ti
1.978 0.000 0.000 Ti
1.978 1.978 1.978 Be
0.000 0.000 0.000 H

***

(2)
Ti3BeH (PBE-GGA, optimized geometry); calculated volume = 17.0 Å³/atom; size of the total moment = 3.02 μB/cell
1.0
4.394 0.000 0.000
0.000 4.394 0.000
0.000 0.000 4.394
Ti Be H
3 1 1
Cartesian
0.000 0.000 2.197 Ti
0.000 2.197 0.000 Ti
2.197 0.000 0.000 Ti
0.000 0.000 0.000 Be
2.197 2.197 2.197 H

***

(3)
Ti3BeH (PBE-GGA, optimized geometry); calculated volume = 12.4 Å³/atom; size of the total moment = 0.00 μB/cell
1.0
2.845 -5.615 0.000
2.845 5.615 0.000
0.000 0.000 3.879
Ti Be H
6 2 2
Cartesian
1.422 2.808 1.939 Ti
2.845 4.164 0.000 Ti
1.531 0.000 1.939 Ti
1.422 -2.808 1.939 Ti
4.159 0.000 1.939 Ti
2.845 -4.164 0.000 Ti
2.845 1.379 0.000 Be
2.845 -1.379 0.000 Be
2.845 4.212 1.939 H
2.845 -4.212 1.939 H

***

Least stable: (2)

***

(1)
Be3VH (PBE-GGA, optimized geometry); calculated volume = 7.9 Å³/atom; size of the total moment = 0.00 μB/cell
1.0
3.409 0.000 0.000
0.000 3.409 0.000
0.000 0.000 3.409
Be V H
3 1 1
Cartesian
0.000 0.000 1.704 Be
0.000 1.704 0.000 Be
1.704 0.000 0.000 Be
1.704 1.704 1.704 V
0.000 0.000 0.000 H

***

(2)
Be3VH (PBE-GGA, optimized geometry); calculated volume = 19.1 Å³/atom; size of the total moment = 4.83 μB/cell
1.0
4.572 0.000 0.000
0.000 4.572 0.000
0.000 0.000 4.572
Be V H
3 1 1
Cartesian
0.000 0.000 2.286 Be
0.000 2.286 0.000 Be
2.286 0.000 0.000 Be
0.000 0.000 0.000 V
2.286 2.286 2.286 H

***

Least stable: (2)

***

(1)
BeVH3 (PBE-GGA, optimized geometry); calculated volume = 6.6 Å³/atom; size of the total moment = 0.00 μB/cell
1.0
2.670 0.000 0.000
-0.008 3.895 0.000
-0.016 -0.689 6.331
Be V H
2 2 6
Cartesian
0.659 0.501 1.488 Be
1.987 2.705 4.843 Be
0.657 0.650 4.002 V
1.989 2.556 2.329 V
0.656 1.975 1.144 H
0.655 -0.463 5.458 H
0.655 2.522 3.594 H
1.991 0.683 2.737 H
1.991 3.668 0.873 H
1.990 1.231 5.187 H

***

(2)
BeVH3 (PBE-GGA, optimized geometry); calculated volume = 5.7 Å³/atom; size of the total moment = 1.22 μB/cell
1.0
3.058 0.000 0.000
0.000 3.058 0.000
0.000 0.000 3.058
Be V H
1 1 3
Cartesian
0.000 0.000 0.000 Be
1.529 1.529 1.529 V
0.000 0.000 1.529 H
0.000 1.529 0.000 H
1.529 0.000 0.000 H

***

(3)
BeVH3 (PBE-GGA, optimized geometry); calculated volume = 7.0 Å³/atom; size of the total moment = 0.00 μB/cell
1.0
3.275 0.000 0.000
0.000 3.275 0.000
0.000 0.000 3.275
Be V H
1 1 3
Cartesian
0.000 0.000 0.000 Be
1.638 1.638 1.638 V
0.000 1.638 1.638 H
1.638 0.000 1.638 H
1.638 1.638 0.000 H

***

Least stable: (3)

***

(1)
BeVH (PBE-GGA, optimized geometry); calculated volume = 7.9 Å³/atom; size of the total moment = 0.00 μB/cell
1.0
2.504 0.000 0.000
-0.074 4.348 0.000
-0.106 -0.869 4.327
Be V H
2 2 2
Cartesian
-0.048 1.073 1.344 Be
2.371 2.406 2.983 Be
1.115 3.198 0.866 V
1.209 0.281 3.461 V
0.000 0.000 0.000 H
-0.053 -0.434 2.164 H

***

(2)
BeVH (PBE-GGA, optimized geometry); calculated volume = 10.0 Å³/atom; size of the total moment = 0.00 μB/cell
1.0
0.000 2.466 2.466
2.466 0.000 2.466
2.466 2.466 0.000
Be V H
1 1 1
Cartesian
0.000 0.000 0.000 Be
1.233 1.233 1.233 V
2.466 2.466 2.466 H

***

(3)
BeVH (PBE-GGA, optimized geometry); calculated volume = 8.0 Å³/atom; size of the total moment = 0.00 μB/cell
1.0
3.173 0.000 0.000
0.012 3.380 0.000
1.526 0.049 4.449
Be V H
2 2 2
Cartesian
0.000 0.000 0.000 Be
1.490 1.775 3.292 Be
1.602 1.751 0.789 V
3.118 0.094 2.578 V
2.548 1.818 2.283 H
3.214 0.955 1.060 H

***

Least stable: (2)

***

(1)
BeVH (PBE-GGA, optimized geometry); calculated volume = 9.9 Å³/atom; size of the total moment = 1.01 μB/cell
1.0
3.957 0.000 0.000
-1.979 3.427 0.000
0.000 0.000 2.187
Be V H
1 1 1
Cartesian
0.000 0.000 0.000 Be
0.000 2.285 0.000 V
1.979 1.142 1.093 H

***

(2)
BeVH (PBE-GGA, optimized geometry); calculated volume = 7.8 Å³/atom; size of the total moment = 0.00 μB/cell
1.0
2.633 0.000 0.000
0.000 2.633 0.000
0.000 0.000 6.770
Be V H
2 2 2
Cartesian
0.658 0.658 0.538 Be
1.975 1.975 6.232 Be
0.658 0.658 4.542 V
1.975 1.975 2.229 V
0.658 0.658 2.577 H
1.975 1.975 4.193 H

***

(3)
BeVH (PBE-GGA, optimized geometry); calculated volume = 8.2 Å³/atom; size of the total moment = 0.00 μB/cell
1.0
3.603 0.000 0.000
0.053 3.733 0.000
1.789 1.804 3.636
Be V H
2 2 2
Cartesian
0.000 0.000 0.000 Be
1.641 1.586 0.132 Be
1.775 3.576 1.842 V
3.522 1.706 1.865 V
2.666 2.651 0.579 H
3.588 3.610 2.260 H

***

Least stable: (1)